## one
# TcRuBr

An optimized crystal structure of TcRuBr (PBE, Alexandria via LeMat-Bulk). Values from VASP.

Quantum ESPRESSO input file:
```
&SYSTEM
  ibrav = 0, nat = 3, ntyp = 3
/
ATOMIC_SPECIES
Tc 98.00 Tc.upf
Ru 101.07 Ru.upf
Br 79.90 Br.upf
CELL_PARAMETERS angstrom
-3.558 2.013 -1.170
-1.330 -0.205 -4.033
-3.483 -2.234 -0.979
ATOMIC_POSITIONS angstrom
Tc -6.278 -0.320 -4.636
Ru -4.185 -0.213 -3.091
Br 0.000 0.000 0.000
```

=====

## two
# TcRuBr

An optimized crystal structure of TcRuBr (PBE, Alexandria via LeMat-Bulk). Values from VASP.

Quantum ESPRESSO input file:
```
&SYSTEM
  ibrav = 0, nat = 3, ntyp = 3
/
ATOMIC_SPECIES
Ru 101.07 Ru.upf
Tc 98.00 Tc.upf
Br 79.90 Br.upf
CELL_PARAMETERS angstrom
2.958 0.000 0.000
-1.479 2.562 0.000
0.000 0.000 6.394
ATOMIC_POSITIONS angstrom
Ru 1.479 0.854 2.250
Tc 0.000 1.708 4.201
Br 0.000 0.000 6.337
```

=====

Relative energies with respect to the most stable structure, expressed in eV/atom: one 0.352; two 0.000.

=====

## one
# TcRuBr

An optimized crystal structure of TcRuBr (PBE, Alexandria via LeMat-Bulk). Values from VASP.

Quantum ESPRESSO input file:
```
&SYSTEM
  ibrav = 0, nat = 3, ntyp = 3
/
ATOMIC_SPECIES
Br 79.90 Br.upf
Ru 101.07 Ru.upf
Tc 98.00 Tc.upf
CELL_PARAMETERS angstrom
-1.184 1.234 5.752
-4.610 -0.265 3.833
3.453 -2.440 -4.259
ATOMIC_POSITIONS angstrom
Br -0.039 0.006 0.064
Ru -1.818 0.304 3.007
Tc -3.937 0.659 6.514
```

=====

## two
# TcRuBr

An optimized crystal structure of TcRuBr (PBE, Alexandria via LeMat-Bulk). Values from VASP.

Quantum ESPRESSO input file:
```
&SYSTEM
  ibrav = 0, nat = 3, ntyp = 3
/
ATOMIC_SPECIES
Ru 101.07 Ru.upf
Br 79.90 Br.upf
Tc 98.00 Tc.upf
CELL_PARAMETERS angstrom
-1.298 2.589 3.078
-2.343 -3.351 -1.071
1.476 -1.683 2.038
ATOMIC_POSITIONS angstrom
Ru -1.232 0.137 2.267
Br 1.418 -1.617 1.957
Tc -0.874 -2.649 1.859
```

=====

Relative energies with respect to the most stable structure, expressed in eV/atom: one 0.000; two 0.328.

=====

## one
# Tc3RuBr

An optimized crystal structure of Tc3RuBr (PBE, Alexandria via LeMat-Bulk). Values from VASP.

Quantum ESPRESSO input file:
```
&SYSTEM
  ibrav = 0, nat = 5, ntyp = 3
/
ATOMIC_SPECIES
Tc 98.00 Tc.upf
Br 79.90 Br.upf
Ru 101.07 Ru.upf
CELL_PARAMETERS angstrom
4.490 0.000 0.000
0.000 4.490 0.000
0.000 0.000 4.490
ATOMIC_POSITIONS angstrom
Tc 2.245 0.000 0.000
Tc 0.000 0.000 2.245
Br 0.000 0.000 0.000
Tc 0.000 2.245 0.000
Ru 2.245 2.245 2.245
```

=====

## two
# Tc3RuBr

An optimized crystal structure of Tc3RuBr (PBE, Alexandria via LeMat-Bulk). Values from VASP.

Quantum ESPRESSO input file:
```
&SYSTEM
  ibrav = 0, nat = 5, ntyp = 3
/
ATOMIC_SPECIES
Br 79.90 Br.upf
Tc 98.00 Tc.upf
Ru 101.07 Ru.upf
CELL_PARAMETERS angstrom
-3.134 2.065 -2.917
-3.574 -1.809 2.559
0.002 3.881 2.745
ATOMIC_POSITIONS angstrom
Br -3.353 2.068 1.194
Tc 0.001 1.940 1.373
Tc -1.567 1.033 -1.458
Ru 0.000 0.000 0.000
Tc -1.787 -0.905 1.280
```

=====

Relative energies with respect to the most stable structure, expressed in eV/atom: one 0.006; two 0.000.

=====

## one
# TcRu3Br

An optimized crystal structure of TcRu3Br (PBE, Alexandria via LeMat-Bulk). Values from VASP.

Quantum ESPRESSO input file:
```
&SYSTEM
  ibrav = 0, nat = 5, ntyp = 3
/
ATOMIC_SPECIES
Tc 98.00 Tc.upf
Br 79.90 Br.upf
Ru 101.07 Ru.upf
CELL_PARAMETERS angstrom
4.741 0.000 0.000
0.000 4.741 0.000
0.000 0.000 4.741
ATOMIC_POSITIONS angstrom
Tc 0.000 0.000 0.000
Br 2.370 2.370 2.370
Ru 2.370 0.000 0.000
Ru 0.000 2.370 0.000
Ru 0.000 0.000 2.370
```

=====

## two
# TcRu3Br

An optimized crystal structure of TcRu3Br (PBE, Alexandria via LeMat-Bulk). Values from VASP.

Quantum ESPRESSO input file:
```
&SYSTEM
  ibrav = 0, nat = 5, ntyp = 3
/
ATOMIC_SPECIES
Ru 101.07 Ru.upf
Tc 98.00 Tc.upf
Br 79.90 Br.upf
CELL_PARAMETERS angstrom
4.512 0.000 0.000
0.000 4.512 0.000
0.000 0.000 4.512
ATOMIC_POSITIONS angstrom
Ru 0.000 2.256 0.000
Tc 2.256 2.256 2.256
Ru 2.256 0.000 0.000
Ru 0.000 0.000 2.256
Br 0.000 0.000 0.000
```

=====

Relative energies with respect to the most stable structure, expressed in eV/atom: one 0.000; two 0.106.

=====

## one
# TiRuBr2

An optimized crystal structure of TiRuBr2 (PBE, Alexandria via LeMat-Bulk). Values from VASP.

Quantum ESPRESSO input file:
```
&SYSTEM
  ibrav = 0, nat = 4, ntyp = 3
/
ATOMIC_SPECIES
Br 79.90 Br.upf
Ti 47.87 Ti.upf
Ru 101.07 Ru.upf
CELL_PARAMETERS angstrom
-1.847 -4.177 -0.324
-4.292 -0.494 -1.516
-0.775 -1.848 -4.117
ATOMIC_POSITIONS angstrom
Br -5.185 -4.889 -4.467
Ti 0.000 0.000 0.000
Ru -3.457 -3.260 -2.978
Br -1.728 -1.630 -1.489
```

=====

## two
# TiRuBr2

An optimized crystal structure of TiRuBr2 (PBE, Alexandria via LeMat-Bulk). Values from VASP.

Quantum ESPRESSO input file:
```
&SYSTEM
  ibrav = 0, nat = 8, ntyp = 3
/
ATOMIC_SPECIES
Ti 47.87 Ti.upf
Br 79.90 Br.upf
Ru 101.07 Ru.upf
CELL_PARAMETERS angstrom
5.802 0.000 0.000
0.000 5.802 0.000
2.901 2.901 5.533
ATOMIC_POSITIONS angstrom
Ti 2.901 5.802 2.767
Br 1.429 4.351 1.383
Br 4.351 4.330 4.150
Br 7.252 7.273 4.150
Ru 5.802 2.901 2.767
Ru 0.000 0.000 0.000
Ti 2.901 2.901 0.000
Br 4.372 1.450 1.383
```

=====

## three
# TiRuBr2

An optimized crystal structure of TiRuBr2 (PBE, Alexandria via LeMat-Bulk). Values from VASP.

Quantum ESPRESSO input file:
```
&SYSTEM
  ibrav = 0, nat = 4, ntyp = 3
/
ATOMIC_SPECIES
Br 79.90 Br.upf
Ru 101.07 Ru.upf
Ti 47.87 Ti.upf
CELL_PARAMETERS angstrom
1.863 0.000 8.449
-0.932 1.614 8.449
-0.932 -1.614 8.449
ATOMIC_POSITIONS angstrom
Br 0.000 0.000 22.917
Br 0.000 0.000 2.430
Ru 0.000 0.000 0.000
Ti 0.000 0.000 12.673
```

=====

Relative energies with respect to the most stable structure, expressed in eV/atom: one 0.272; two 0.376; three 0.000.

=====

## one
# TiRu2Br

An optimized crystal structure of TiRu2Br (PBE, Alexandria via LeMat-Bulk). Values from VASP.

Quantum ESPRESSO input file:
```
&SYSTEM
  ibrav = 0, nat = 4, ntyp = 3
/
ATOMIC_SPECIES
Ru 101.07 Ru.upf
Ti 47.87 Ti.upf
Br 79.90 Br.upf
CELL_PARAMETERS angstrom
-2.887 1.599 2.997
-3.663 2.148 -1.359
-4.005 -1.902 0.473
ATOMIC_POSITIONS angstrom
Ru -2.639 0.461 0.528
Ti 0.000 0.000 0.000
Ru -7.916 1.384 1.584
Br -5.277 0.923 1.056
```

=====

## two
# TiRu2Br

An optimized crystal structure of TiRu2Br (PBE, Alexandria via LeMat-Bulk). Values from VASP.

Quantum ESPRESSO input file:
```
&SYSTEM
  ibrav = 0, nat = 8, ntyp = 3
/
ATOMIC_SPECIES
Br 79.90 Br.upf
Ru 101.07 Ru.upf
Ti 47.87 Ti.upf
CELL_PARAMETERS angstrom
5.281 0.000 0.000
0.000 5.281 0.000
2.641 2.641 6.100
ATOMIC_POSITIONS angstrom
Br 0.000 0.000 0.000
Ru 1.391 3.961 1.525
Ti 2.641 5.281 3.050
Ru 3.890 1.320 1.525
Br 5.281 2.641 3.050
Ru 6.601 6.531 4.575
Ru 3.961 4.031 4.575
Ti 2.641 2.641 0.000
```

=====

Relative energies with respect to the most stable structure, expressed in eV/atom: one 0.000; two 0.253.